La12DyMg3 (PBE-GGA, optimized geometry); energy of formation from the pure elements = -15 meV per atom; total DFT energy (no corrections) = -4.30 eV/atom; size of the total moment = 0.000 μB/atom; Fermi-level density of states = 1.5425 states/eV/atom
1.0
5.141 0.000 0.000
0.000 5.141 0.000
0.000 0.000 20.623
La Dy Mg
12 1 3
Cartesian
0.000 0.000 0.000
0.000 0.000 5.127
0.000 0.000 10.311
0.000 0.000 15.495
0.000 2.571 2.554
0.000 2.571 7.690
0.000 2.571 12.933
0.000 2.571 18.069
2.571 0.000 2.554
2.571 0.000 7.690
2.571 0.000 12.933
2.571 0.000 18.069
2.571 2.571 10.311
2.571 2.571 0.000
2.571 2.571 5.094
2.571 2.571 15.528

La15DyMg4 (PBE-GGA, optimized geometry); energy of formation from the pure elements = 24 meV per atom; total DFT energy (no corrections) = -4.22 eV/atom; size of the total moment = 0.000 μB/atom; Fermi-level density of states = 1.5311 states/eV/atom
1.0
5.960 0.000 0.000
0.000 5.960 0.000
0.000 0.000 19.230
La Dy Mg
15 1 4
Cartesian
0.000 0.000 0.000
0.000 0.000 3.687
0.000 0.000 7.860
0.000 0.000 11.370
0.000 0.000 15.543
0.000 2.980 2.079
0.000 2.980 5.768
0.000 2.980 9.615
0.000 2.980 13.462
0.000 2.980 17.151
2.980 0.000 2.079
2.980 0.000 5.768
2.980 0.000 9.615
2.980 0.000 13.462
2.980 0.000 17.151
2.980 2.980 0.000
2.980 2.980 3.912
2.980 2.980 7.646
2.980 2.980 11.584
2.980 2.980 15.318